TbSm2Zn9: relaxed, PBE.

Output
The space group is R-3m (166).

The structure in POSCAR format:
```
TbSm2Zn9
1.0
5.247 0.000 1.561
2.391 4.670 1.561
0.106 0.065 9.239
Tb Sm Zn
1 2 9
Direct
0.000 0.000 0.000
0.860 0.860 0.420
0.140 0.140 0.580
0.665 0.665 0.004
0.335 0.335 0.996
0.500 0.500 0.500
0.417 0.417 0.243
0.923 0.417 0.243
0.417 0.923 0.243
0.583 0.583 0.757
0.583 0.077 0.757
0.077 0.583 0.757
```

***

Tb2SmZn9: relaxed, PBE.

Output
The space group is R-3m (166).

The structure in POSCAR format:
```
Tb2SmZn9
1.0
5.239 0.000 1.559
2.388 4.664 1.559
0.120 0.073 9.179
Tb Sm Zn
2 1 9
Direct
0.860 0.860 0.420
0.140 0.140 0.580
0.000 0.000 0.000
0.665 0.665 0.005
0.335 0.335 0.995
0.500 0.500 0.500
0.415 0.415 0.248
0.923 0.415 0.248
0.415 0.923 0.248
0.585 0.585 0.752
0.585 0.077 0.752
0.077 0.585 0.752
```

***

no.,E (eV per cell),calculated volume (A^3/atom)
1,-29.17,18.78
2,-29.26,18.59